Entry from the Alexandria database: a relaxed structure of Re2SnI (PBE).

Properties
Total DFT energy (no corrections) in eV/atom: -6.409
Total magnetic moment in μB per formula unit: 0.0
Offset from the most stable computed form in meV/atom: 0
Raw formation energy in eV/atom: 1.203

a b c (Å): 4.679 4.679 4.679
angles (deg): 60.00 60.00 60.00
Element x y z (fractional)
I  0.500  0.500  0.500
Re  0.250  0.250  0.250
Re  0.750  0.750  0.750
Sn  0.000  0.000  0.000


Entry from the Alexandria database: a relaxed structure of TaTl2Os (PBE).

Properties
Formation energy from the elements in meV per atom: 1018
Total DFT energy (no corrections) in eV/atom: -5.935
Total magnetic moment in μB per formula unit: 0.0
Offset from the most stable computed form in meV/atom: 719

a b c (Å): 3.152 4.290 5.805
angles (deg): 90.00 90.00 90.00
Element x y z (fractional)
Os  0.500  0.500  0.250
Ta  0.500  0.500  0.750
Tl  0.000  0.000  0.007
Tl  0.000  0.000  0.493


Q: Number 2 is which compound?
A: TaTl2Os


Q: Among the records above, which one has the lowest offset from the most stable computed form?
A: Re2SnI


Q: What is the formula in the second record?
A: TaTl2Os


Q: Look up the total DFT energy (no corrections) of the second one.
A: -5.935 eV/atom